DFT (GGA-PBE) results for a geometry-optimized CuTeAsI2 structure.

a b c (Å): 5.6447 5.6447 5.5293
angles (deg): 90.00 90.00 90.00
Sites, in units of the cell vectors:
Te1 0.0000 0.0000 0.5000
I1 0.0000 0.5000 0.0000
I2 0.5000 0.0000 0.0000
As1 0.0000 0.0000 0.0000
Cu1 0.5000 0.5000 0.5000

Results
ΔE_f (raw) in eV/f.u.: 3.2
V in A^3/atom: 35.2
Spin magnetization in μB/f.u.: 0.0
DOS at the Fermi energy in states/eV/cell: 4.59
Space group: No. 123
Calculated density in g/cm3: 4.90

---

DFT (GGA-PBE) results for a geometry-optimized NaMnB3 structure.

a b c (Å): 5.4623 5.4623 5.4623
angles (deg): 90.00 90.00 90.00
Sites, in units of the cell vectors:
Mn1 0.5000 0.5000 0.5000
B1 0.0000 0.5000 0.0000
B2 0.5000 0.0000 0.0000
B3 0.0000 0.0000 0.5000
Na1 0.0000 0.0000 0.0000

Results
V in A^3/atom: 32.6
Spin magnetization in μB/f.u.: 4.0
E_form in eV/atom: 3.393
DOS at the Fermi energy in states/eV/cell: 5.73
Space group: No. 221
Calculated density in g/cm3: 1.12

---

DFT (GGA-PBE) results for a geometry-optimized SmZn11 structure.

a b c (Å): 6.8679 8.2336 8.2336
angles (deg): 79.98 65.35 65.35
Sites, in units of the cell vectors:
Zn1 0.1545 0.4162 0.1731
Zn2 0.3750 0.7500 0.7500
Zn3 0.7500 0.5000 0.5000
Zn4 0.0000 0.0000 0.0000
Zn5 0.5955 0.3269 0.0838
Zn6 0.8750 0.2500 0.7500
Zn7 0.3207 0.0838 0.6731
Zn8 0.0063 0.9162 0.6731
Zn9 0.6725 0.1731 0.5838
Zn10 0.0775 0.3269 0.9162
Zn11 0.7437 0.8269 0.5838
Zn12 0.4293 0.4162 0.8269
Zn13 0.4293 0.8269 0.4162
Zn14 0.5955 0.0838 0.3269
Zn15 0.0775 0.9162 0.3269
Zn16 0.1545 0.1731 0.4162
Zn17 0.8750 0.2500 0.2500
Zn18 0.3207 0.6731 0.0838
Zn19 0.8750 0.7500 0.2500
Zn20 0.0063 0.6731 0.9162
Zn21 0.6725 0.5838 0.1731
Zn22 0.7437 0.5838 0.8269
Sm1 0.2500 0.5000 0.5000
Sm2 0.5000 0.0000 0.0000

Results
V in A^3/atom: 16.0
Spin magnetization in μB/f.u.: 0.0
E_form in eV/atom: -0.197
DOS at the Fermi energy in states/eV/cell: 7.46
Space group: No. 141
Calculated density in g/cm3: 7.51

---

DFT (GGA-PBE) results for a geometry-optimized RbAlH2 structure.

a b c (Å): 9.0026 4.6230 12.5315
angles (deg): 90.00 130.81 90.00
Sites, in units of the cell vectors:
H1 0.2838 0.0000 0.3152
H2 0.2838 0.5000 0.8152
H3 0.2031 0.0000 0.4804
H4 0.7162 0.5000 0.1848
H5 0.7969 0.0000 0.5196
H6 0.7162 0.0000 0.6848
H7 0.2031 0.5000 0.9804
H8 0.7969 0.5000 0.0196
Rb1 0.5000 0.5000 0.5000
Rb2 0.5000 0.0000 0.0000
Rb3 0.0000 0.5000 0.5000
Rb4 0.0000 0.0000 0.0000
Al1 0.9105 0.0000 0.6927
Al2 0.0895 0.0000 0.3073
Al3 0.9105 0.5000 0.1927
Al4 0.0895 0.5000 0.8073

Results
V in A^3/atom: 24.7
Spin magnetization in μB/f.u.: 0.0
Energy in Ry/atom: -0.22224
Space group: No. 12
Calculated density in g/cm3: 1.93

---

DFT (GGA-PBE) results for a geometry-optimized Li2La2NdTl2 structure.

a b c (Å): 4.8951 4.8951 9.5605
angles (deg): 75.17 75.17 60.00
Sites, in units of the cell vectors:
La1 0.1363 0.1363 0.5911
La2 0.8637 0.8637 0.4089
Tl1 0.2660 0.2660 0.2021
Tl2 0.7340 0.7340 0.7979
Li1 0.4016 0.4016 0.7953
Li2 0.5984 0.5984 0.2047
Nd1 0.0000 0.0000 0.0000

Results
V in A^3/atom: 27.1
Spin magnetization in μB/f.u.: 0.0
E_form in eV/atom: -0.236
DOS at the Fermi energy in states/eV/cell: 4.60
Space group: No. 166
Calculated density in g/cm3: 7.40

---

DFT (GGA-PBE) results for a geometry-optimized RbMnCl2 structure.

a b c (Å): 6.3848 6.3848 8.0112
angles (deg): 66.52 66.52 90.00
Sites, in units of the cell vectors:
Cl1 0.5088 0.1250 0.2500
Cl2 0.3750 0.4912 0.7500
Cl3 0.8750 0.7588 0.7500
Cl4 0.2412 0.6250 0.2500
Rb1 0.7500 0.2500 0.5000
Rb2 0.0000 0.0000 0.0000
Mn1 0.5000 0.5000 0.0000
Mn2 0.2500 0.7500 0.5000

Results
ΔE_f (raw) in eV/f.u.: -3.6
V in A^3/atom: 33.7
Spin magnetization in μB/f.u.: 4.3
DOS at the Fermi energy in states/eV/cell: 4.80
Space group: No. 122
Calculated density in g/cm3: 2.60

---

DFT (GGA-PBE) results for a geometry-optimized AlTl2Cd structure.

a b c (Å): 5.5536 5.5536 5.5536
angles (deg): 128.09 128.09 76.48
Sites, in units of the cell vectors:
Al1 0.2500 0.7500 0.5000
Tl1 0.0000 0.0000 0.0000
Tl2 0.5000 0.5000 0.0000
Cd1 0.7500 0.2500 0.5000

Results
V in A^3/atom: 25.8
Spin magnetization in μB/f.u.: 0.0
E_form in eV/atom: 0.204
DOS at the Fermi energy in states/eV/cell: 1.89
Space group: No. 139
Calculated density in g/cm3: 8.83

---

DFT (GGA-PBE) results for a geometry-optimized ScInSn2 structure.

a b c (Å): 4.5631 4.5631 6.5908
angles (deg): 69.75 69.75 60.00
Sites, in units of the cell vectors:
Sc1 0.6693 0.6693 0.9920
In1 0.4964 0.4964 0.5108
Sn1 0.2570 0.2570 0.2289
Sn2 0.0772 0.0772 0.7683

Results
V in A^3/atom: 27.2
Spin magnetization in μB/f.u.: 0.0
E_form in eV/atom: -0.151
DOS at the Fermi energy in states/eV/cell: 1.72
Space group: No. 160
Calculated density in g/cm3: 6.05

---

DFT (GGA-PBE) results for a geometry-optimized ReNiTe2I structure.

a b c (Å): 5.0905 5.0905 5.0674
angles (deg): 90.00 90.00 90.00
Sites, in units of the cell vectors:
Te1 0.5000 0.0000 0.0000
Te2 0.0000 0.5000 0.0000
I1 0.0000 0.0000 0.5000
Ni1 0.0000 0.0000 0.0000
Re1 0.5000 0.5000 0.5000

Results
ΔE_f (raw) in eV/f.u.: 6.4
V in A^3/atom: 26.3
Spin magnetization in μB/f.u.: 3.8
DOS at the Fermi energy in states/eV/cell: 5.26
Space group: No. 123
Calculated density in g/cm3: 7.93

---

DFT (GGA-PBE) results for a geometry-optimized Pm3PrSn6 structure.

a b c (Å): 7.3855 9.7382 8.3129
angles (deg): 90.00 84.89 90.00
Sites, in units of the cell vectors:
Pm1 0.0322 0.5972 0.2081
Pm2 0.5000 0.5000 0.0000
Pm3 0.9678 0.4028 0.7919
Pm4 0.5322 0.9028 0.7081
Pm5 0.4678 0.0972 0.2919
Pm6 0.0000 0.0000 0.5000
Sn1 0.8703 0.6741 0.5749
Sn2 0.7940 0.7260 0.9288
Sn3 0.3703 0.8259 0.0749
Sn4 0.7060 0.2260 0.5712
Sn5 0.2060 0.2740 0.0712
Sn6 0.7958 0.3162 0.1985
Sn7 0.2042 0.6838 0.8015
Sn8 0.2940 0.7740 0.4288
Sn9 0.7042 0.8162 0.3015
Sn10 0.1297 0.3259 0.4251
Sn11 0.6297 0.1741 0.9251
Sn12 0.2958 0.1838 0.6985
Pr1 0.0000 0.0000 0.0000
Pr2 0.5000 0.5000 0.5000

Results
V in A^3/atom: 29.8
Spin magnetization in μB/f.u.: 0.0
E_form in eV/atom: -0.509
DOS at the Fermi energy in states/eV/cell: 12.12
Space group: No. 14
Calculated density in g/cm3: 7.18

---

DFT (GGA-PBE) results for a geometry-optimized La2NdAs3 structure.

a b c (Å): 4.3436 4.3436 9.7085
angles (deg): 102.93 102.93 89.98
Sites, in units of the cell vectors:
As1 0.5997 0.6009 0.2047
As2 0.2689 0.2702 0.5432
As3 0.9341 0.9360 0.8740
La1 0.1003 0.1016 0.2060
La2 0.7683 0.7695 0.5419
Nd1 0.4341 0.4359 0.8740

Results
V in A^3/atom: 29.0
Spin magnetization in μB/f.u.: 0.0
E_form in eV/atom: -1.551
DOS at the Fermi energy in states/eV/cell: 0.84
Space group: No. 139
Calculated density in g/cm3: 6.18

---

DFT (GGA-PBE) results for a geometry-optimized TlHg2P structure.

a b c (Å): 3.8489 3.7133 7.7184
angles (deg): 90.00 90.00 90.00
Sites, in units of the cell vectors:
Hg1 0.5000 0.5000 0.3576
Hg2 0.0000 0.0000 0.0168
P1 0.0000 0.0000 0.3616
Tl1 0.5000 0.5000 0.7640

Results
V in A^3/atom: 27.6
Spin magnetization in μB/f.u.: 0.0
E_form in eV/atom: 0.248
DOS at the Fermi energy in states/eV/cell: 2.00
Space group: No. 25
Calculated density in g/cm3: 9.58

---

DFT (GGA-PBE) results for a geometry-optimized YHo4Al2 structure.

a b c (Å): 5.2493 5.2493 8.3527
angles (deg): 71.69 71.69 60.00
Sites, in units of the cell vectors:
Ho1 0.8466 0.8466 0.4602
Ho2 0.1534 0.1534 0.5398
Ho3 0.5812 0.5812 0.2565
Ho4 0.4188 0.4188 0.7435
Y1 0.0000 0.0000 0.0000
Al1 0.2824 0.2824 0.1529
Al2 0.7176 0.7176 0.8471

Results
V in A^3/atom: 26.5
Spin magnetization in μB/f.u.: 0.0
E_form in eV/atom: -0.213
DOS at the Fermi energy in states/eV/cell: 4.35
Space group: No. 166
Calculated density in g/cm3: 7.18

---

DFT (GGA-PBE) results for a geometry-optimized CaZn2In structure.

a b c (Å): 4.4286 4.4286 6.0852
angles (deg): 68.85 68.85 59.91
Sites, in units of the cell vectors:
Zn1 0.6961 0.6961 0.9111
Zn2 0.0355 0.0355 0.8928
Ca1 0.4875 0.4875 0.5373
In1 0.2809 0.2809 0.1587

Results
V in A^3/atom: 23.5
Spin magnetization in μB/f.u.: 0.0
E_form in eV/atom: -0.226
DOS at the Fermi energy in states/eV/cell: 1.45
Space group: No. 8
Calculated density in g/cm3: 5.05

---

DFT (GGA-PBE) results for a geometry-optimized Ca4BiO5 structure.

a b c (Å): 4.9256 6.0637 6.0637
angles (deg): 80.51 66.04 66.04
Sites, in units of the cell vectors:
Ca1 0.8044 0.8009 0.5924
Ca2 0.1977 0.1991 0.4076
Ca3 0.6053 0.5924 0.1991
Ca4 0.3968 0.4076 0.8009
O1 0.1104 0.5725 0.2085
O2 0.5013 0.0000 0.0000
O3 0.8914 0.4275 0.7915
O4 0.6829 0.2085 0.4275
O5 0.3190 0.7915 0.5725
Bi1 0.0012 0.0000 0.0000

Results
ΔE_f (raw) in eV/f.u.: -23.8
V in A^3/atom: 15.1
Spin magnetization in μB/f.u.: 0.7
DOS at the Fermi energy in states/eV/cell: 3.83
Space group: No. 87
Calculated density in g/cm3: 4.93

---

DFT (GGA-PBE) results for a geometry-optimized Li2MoH4 structure.

a b c (Å): 3.4977 3.4977 5.8520
angles (deg): 72.61 72.61 90.00
Sites, in units of the cell vectors:
Mo1 0.0000 0.0000 0.0000
H1 0.8272 0.8272 0.3457
H2 0.1728 0.1728 0.6543
H3 0.5000 0.0000 0.0000
H4 0.0000 0.5000 0.0000
Li1 0.3478 0.3478 0.3044
Li2 0.6522 0.6522 0.6956

Results
V in A^3/atom: 9.3
Spin magnetization in μB/f.u.: 0.8
Energy in Ry/atom: -0.29762
DOS at the Fermi energy in states/eV/cell: 2.58
Space group: No. 139
Calculated density in g/cm3: 2.91

---

DFT (GGA-PBE) results for a geometry-optimized Ce2SiRh6 structure.

a b c (Å): 6.0108 6.0108 6.0093
angles (deg): 59.97 59.97 59.97
Sites, in units of the cell vectors:
Rh1 0.2308 0.2308 0.7691
Rh2 0.2309 0.7693 0.7692
Rh3 0.7692 0.7692 0.2309
Rh4 0.7691 0.2307 0.2308
Rh5 0.2307 0.7691 0.2308
Rh6 0.7693 0.2309 0.7692
Ce1 0.7500 0.7500 0.7501
Ce2 0.2500 0.2500 0.2499
Si1 0.5000 0.5000 0.5000

Results
ΔE_f (raw) in eV/f.u.: -7.1
V in A^3/atom: 17.0
Spin magnetization in μB/f.u.: 0.0
DOS at the Fermi energy in states/eV/cell: 9.95
Space group: No. 225
Calculated density in g/cm3: 10.02

---

DFT (GGA-PBE) results for a geometry-optimized Ca2AlZn4Au3 structure.

a b c (Å): 4.0701 4.0701 12.0974
angles (deg): 90.00 90.00 90.00
Sites, in units of the cell vectors:
Al1 0.5000 0.5000 0.5000
Ca1 0.0000 0.5000 0.7476
Ca2 0.5000 0.0000 0.2524
Zn1 0.0000 0.0000 0.0000
Zn2 0.5000 0.0000 0.6412
Zn3 0.0000 0.5000 0.3588
Zn4 0.5000 0.5000 0.0000
Au1 0.5000 0.0000 0.8553
Au2 0.0000 0.0000 0.5000
Au3 0.0000 0.5000 0.1447

Results
V in A^3/atom: 20.0
Spin magnetization in μB/f.u.: 0.0
E_form in eV/atom: -0.455
DOS at the Fermi energy in states/eV/cell: 5.53
Space group: No. 115
Calculated density in g/cm3: 7.95

---

DFT (GGA-PBE) results for a geometry-optimized YSbIr2 structure.

a b c (Å): 3.2202 3.2202 7.4116
angles (deg): 90.00 90.00 90.00
Sites, in units of the cell vectors:
Y1 0.5000 0.5000 0.7500
Ir1 0.0000 0.0000 0.4737
Ir2 0.0000 0.0000 0.0263
Sb1 0.5000 0.5000 0.2500

Results
ΔE_f (raw) in eV/f.u.: -1.1
V in A^3/atom: 19.2
Spin magnetization in μB/f.u.: 0.0
DOS at the Fermi energy in states/eV/cell: 2.99
Space group: No. 123
Calculated density in g/cm3: 12.86

---

DFT (GGA-PBE) results for a geometry-optimized Ac3Nd12Hg structure.

a b c (Å): 5.2206 5.2206 20.8933
angles (deg): 90.00 90.00 90.00
Sites, in units of the cell vectors:
Nd1 0.5000 0.0000 0.1149
Nd2 0.5000 0.5000 0.0000
Nd3 0.5000 0.0000 0.6284
Nd4 0.5000 0.5000 0.7607
Nd5 0.5000 0.0000 0.8851
Nd6 0.0000 0.5000 0.3716
Nd7 0.5000 0.5000 0.5000
Nd8 0.5000 0.5000 0.2393
Nd9 0.0000 0.5000 0.1149
Nd10 0.0000 0.5000 0.8851
Nd11 0.0000 0.5000 0.6284
Nd12 0.5000 0.0000 0.3716
Ac1 0.0000 0.0000 0.7567
Ac2 0.0000 0.0000 0.5000
Ac3 0.0000 0.0000 0.2433
Hg1 0.0000 0.0000 0.0000

Results
V in A^3/atom: 35.6
Spin magnetization in μB/f.u.: 0.0
E_form in eV/atom: -0.006
DOS at the Fermi energy in states/eV/cell: 22.91
Space group: No. 123
Calculated density in g/cm3: 7.62

---

DFT (GGA-PBE) results for a geometry-optimized DyNp2Ni9 structure.

a b c (Å): 4.8956 4.8956 8.6187
angles (deg): 73.50 73.50 60.00
Sites, in units of the cell vectors:
Np1 0.1441 0.1441 0.5676
Np2 0.8559 0.8559 0.4324
Ni1 0.3329 0.3329 0.0012
Ni2 0.4175 0.9176 0.2474
Ni3 0.5000 0.5000 0.5000
Ni4 0.6671 0.6671 0.9988
Ni5 0.9176 0.4175 0.2474
Ni6 0.5825 0.0824 0.7526
Ni7 0.0824 0.5825 0.7526
Ni8 0.4175 0.4175 0.2474
Ni9 0.5825 0.5825 0.7526
Dy1 0.0000 0.0000 0.0000

Results
V in A^3/atom: 14.1
Spin magnetization in μB/f.u.: 6.4
E_form in eV/atom: -0.251
DOS at the Fermi energy in states/eV/cell: 23.02
Space group: No. 166
Calculated density in g/cm3: 11.44

---

DFT (GGA-PBE) results for a geometry-optimized AcTb2Y4 structure.

a b c (Å): 8.9700 9.6698 10.3869
angles (deg): 144.03 97.94 97.06
Sites, in units of the cell vectors:
Y1 0.4199 0.7826 0.7297
Y2 0.7720 0.0117 0.7286
Y3 0.5648 0.4182 0.0637
Y4 0.0416 0.5341 0.7140
Y5 0.2728 0.1584 0.3923
Y6 0.9425 0.7077 0.1536
Y7 0.8211 0.9343 0.0329
Y8 0.3430 0.8222 0.4109
Tb1 0.4668 0.7284 0.0285
Tb2 0.6639 0.2742 0.6378
Tb3 0.1447 0.2457 0.7675
Tb4 0.6145 0.3640 0.3786
Ac1 0.2036 0.1837 0.0629
Ac2 0.9788 0.5850 0.3989

Results
V in A^3/atom: 34.2
Spin magnetization in μB/f.u.: 0.0
E_form in eV/atom: 0.085
DOS at the Fermi energy in states/eV/cell: 24.02
Space group: No. 1
Calculated density in g/cm3: 6.24

---

DFT (GGA-PBE) results for a geometry-optimized KCd2Au structure.

a b c (Å): 3.1972 4.0739 8.0912
angles (deg): 90.00 90.00 90.00
Sites, in units of the cell vectors:
K1 0.5000 0.5000 0.2500
Au1 0.5000 0.5000 0.7500
Cd1 0.0000 0.0000 0.9393
Cd2 0.0000 0.0000 0.5607

Results
V in A^3/atom: 26.3
Spin magnetization in μB/f.u.: 0.0
E_form in eV/atom: -0.083
DOS at the Fermi energy in states/eV/cell: 1.36
Space group: No. 47
Calculated density in g/cm3: 7.26

---

DFT (GGA-PBE) results for a geometry-optimized BeTlZn3 structure.

a b c (Å): 4.5263 4.5263 4.5263
angles (deg): 90.00 90.00 90.00
Sites, in units of the cell vectors:
Be1 0.0000 0.0000 0.0000
Zn1 0.0000 0.5000 0.0000
Zn2 0.5000 0.0000 0.0000
Zn3 0.0000 0.0000 0.5000
Tl1 0.5000 0.5000 0.5000

Results
V in A^3/atom: 18.5
Spin magnetization in μB/f.u.: 0.0
E_form in eV/atom: 0.253
DOS at the Fermi energy in states/eV/cell: 1.14
Space group: No. 221
Calculated density in g/cm3: 7.34